Record 1
Below is an optimized crystal structure of NbTc2GeH, with properties calculated at the GGA-PBE level.

a = 4.0431 Å, b = 4.0431 Å, c = 3.9259 Å
α = 90.00°, β = 90.00°, γ = 90.00°
Sites, in units of the cell vectors:
Nb 0.0000 0.0000 0.0000
Tc 0.0000 0.5000 0.5000
Tc 0.5000 0.0000 0.5000
Ge 0.5000 0.5000 0.0000
H 0.0000 0.0000 0.5000

- Symmetry: No. 123
- Total energy: -7.78 eV/atom
- Calculated density: 9.381 Mg/m³

Record 2
Below is an optimized crystal structure of NaTl2GaCl4, with properties calculated at the GGA-PBE level.

a = 8.7753 Å, b = 8.7753 Å, c = 8.7753 Å
α = 120.44°, β = 119.49°, γ = 90.06°
Sites, in units of the cell vectors:
Na 0.5000 0.0000 0.0000
Na 0.5000 0.5000 0.5000
Tl 0.0000 0.0000 0.0000
Tl 0.0000 0.0000 0.5000
Tl 0.0000 0.5000 0.0000
Tl 0.5000 0.0000 0.5000
Ga 0.0000 0.5000 0.5000
Ga 0.5000 0.5000 0.0000
Cl 0.2638 0.2767 0.5129
Cl 0.2638 0.7508 0.9871
Cl 0.2683 0.7438 0.5245
Cl 0.2806 0.2562 0.0245
Cl 0.7194 0.7438 0.9755
Cl 0.7317 0.2562 0.4755
Cl 0.7362 0.2492 0.0129
Cl 0.7362 0.7233 0.4871

- Uncorrected formation energy: -1.113 eV per atom
- Symmetry: No. 74
- Total energy: -3.17 eV/atom
- Calculated density: 4.469 Mg/m³

Record 3
Below is an optimized crystal structure of BaSnBiPb2, with properties calculated at the GGA-PBE level.

a = 6.5113 Å, b = 6.5113 Å, c = 11.3458 Å
α = 90.00°, β = 90.00°, γ = 133.12°
Sites, in units of the cell vectors:
Ba 0.0770 0.9230 0.7500
Ba 0.9230 0.0770 0.2500
Sn 0.5000 0.5000 0.0000
Sn 0.5000 0.5000 0.5000
Bi 0.3664 0.6336 0.7500
Bi 0.6336 0.3664 0.2500
Pb 0.2034 0.7966 0.0773
Pb 0.2034 0.7966 0.4227
Pb 0.7966 0.2034 0.5773
Pb 0.7966 0.2034 0.9227

- Symmetry: No. 63
- Total energy: -3.74 eV/atom
- Calculated density: 8.319 Mg/m³
- Energy relative to the elements: -28 kJ/mol of atoms

Record 4
Below is an optimized crystal structure of MnIrS2, with properties calculated at the GGA-PBE level.

a = 5.1351 Å, b = 5.1351 Å, c = 10.1880 Å
α = 90.00°, β = 90.00°, γ = 90.00°
Sites, in units of the cell vectors:
Mn 0.0000 0.0000 0.0000
Mn 0.0000 0.5000 0.2500
Mn 0.5000 0.0000 0.7500
Mn 0.5000 0.5000 0.5000
Ir 0.0000 0.0000 0.5000
Ir 0.0000 0.5000 0.7500
Ir 0.5000 0.0000 0.2500
Ir 0.5000 0.5000 0.0000
S 0.2280 0.2500 0.1250
S 0.2500 0.7280 0.3750
S 0.2500 0.7720 0.8750
S 0.2720 0.2500 0.6250
S 0.7280 0.7500 0.6250
S 0.7500 0.2280 0.8750
S 0.7500 0.2720 0.3750
S 0.7720 0.7500 0.1250

- Uncorrected formation energy: -0.127 eV per atom
- Symmetry: No. 122
- Total energy: -6.70 eV/atom
- Calculated density: 7.696 Mg/m³

Record 5
Below is an optimized crystal structure of Y7Zn2Pt2, with properties calculated at the GGA-PBE level.

a = 6.7336 Å, b = 6.7336 Å, c = 7.1073 Å
α = 90.00°, β = 90.00°, γ = 108.16°
Sites, in units of the cell vectors:
Y 0.0000 0.0000 0.0000
Y 0.0000 0.5000 0.2634
Y 0.0000 0.5000 0.7366
Y 0.5000 0.0000 0.2634
Y 0.5000 0.0000 0.7366
Y 0.5000 0.5000 0.2570
Y 0.5000 0.5000 0.7430
Zn 0.1684 0.1684 0.5000
Zn 0.8316 0.8316 0.5000
Pt 0.2888 0.7112 0.0000
Pt 0.7112 0.2888 0.0000

- Symmetry: No. 65
- Total energy: -5.89 eV/atom
- Calculated density: 6.200 Mg/m³
- Energy relative to the elements: -43 kJ/mol of atoms

Record 6
Below is an optimized crystal structure of ScCu2Re, with properties calculated at the GGA-PBE level.

a = 2.8103 Å, b = 2.8103 Å, c = 26.5177 Å
α = 90.00°, β = 90.00°, γ = 120.00°
Sites, in units of the cell vectors:
Sc 0.0000 0.0000 0.0000
Sc 0.3333 0.6667 0.6667
Sc 0.6667 0.3333 0.3333
Cu 0.0000 0.0000 0.4951
Cu 0.0000 0.0000 0.7537
Cu 0.3333 0.6667 0.1618
Cu 0.3333 0.6667 0.4204
Cu 0.6667 0.3333 0.0871
Cu 0.6667 0.3333 0.8285
Re 0.0000 0.0000 0.2419
Re 0.3333 0.6667 0.9086
Re 0.6667 0.3333 0.5752

- Symmetry: No. 160
- Total energy: -6.48 eV/atom
- Calculated density: 9.840 Mg/m³
- Energy relative to the elements: 26 kJ/mol of atoms

Record 7
Below is an optimized crystal structure of PmThRuPb, with properties calculated at the GGA-PBE level.

a = 7.4780 Å, b = 7.4780 Å, c = 7.4780 Å
α = 90.00°, β = 90.00°, γ = 90.00°
Sites, in units of the cell vectors:
Pm 0.0000 0.0000 0.0000
Pm 0.0000 0.5000 0.5000
Pm 0.5000 0.0000 0.5000
Pm 0.5000 0.5000 0.0000
Th 0.0000 0.0000 0.5000
Th 0.0000 0.5000 0.0000
Th 0.5000 0.0000 0.0000
Th 0.5000 0.5000 0.5000
Ru 0.2500 0.2500 0.7500
Ru 0.2500 0.7500 0.2500
Ru 0.7500 0.2500 0.2500
Ru 0.7500 0.7500 0.7500
Pb 0.2500 0.2500 0.2500
Pb 0.2500 0.7500 0.7500
Pb 0.7500 0.2500 0.7500
Pb 0.7500 0.7500 0.2500

- Symmetry: No. 216
- Total energy: -6.39 eV/atom
- Calculated density: 10.885 Mg/m³
- Energy relative to the elements: -10 kJ/mol of atoms

Record 8
Below is an optimized crystal structure of Ta2CrCu, with properties calculated at the GGA-PBE level.

a = 3.2246 Å, b = 3.2246 Å, c = 5.8803 Å
α = 90.00°, β = 90.00°, γ = 90.00°
Sites, in units of the cell vectors:
Ta 0.0000 0.0000 0.0000
Ta 0.5000 0.5000 0.2890
Cr 0.0000 0.0000 0.5234
Cu 0.5000 0.5000 0.7567

- Symmetry: No. 99
- Total energy: -9.18 eV/atom
- Calculated density: 12.966 Mg/m³
- Energy relative to the elements: 17 kJ/mol of atoms

Record 9
Below is an optimized crystal structure of Cs3Rb8Au2, with properties calculated at the GGA-PBE level.

a = 13.3861 Å, b = 5.5042 Å, c = 13.8770 Å
α = 90.00°, β = 95.44°, γ = 90.00°
Sites, in units of the cell vectors:
Cs 0.0000 0.0000 0.0000
Cs 0.3168 0.5000 0.9146
Cs 0.6832 0.5000 0.0854
Rb 0.0868 0.0000 0.6340
Rb 0.1419 0.5000 0.2616
Rb 0.3287 0.5000 0.5340
Rb 0.4132 0.0000 0.2632
Rb 0.5868 0.0000 0.7368
Rb 0.6713 0.5000 0.4660
Rb 0.8581 0.5000 0.7384
Rb 0.9132 0.0000 0.3660
Au 0.2003 0.0000 0.4110
Au 0.7997 0.0000 0.5890

- Symmetry: No. 10
- Total energy: -1.38 eV/atom
- Calculated density: 2.409 Mg/m³
- Energy relative to the elements: -8 kJ/mol of atoms

Record 10
Below is an optimized crystal structure of Y2Ho3Se8, with properties calculated at the GGA-PBE level.

a = 8.2184 Å, b = 8.2184 Å, c = 6.9671 Å
α = 106.72°, β = 106.72°, γ = 59.67°
Sites, in units of the cell vectors:
Y 0.2425 0.2425 0.1629
Y 0.7575 0.7575 0.8371
Ho 0.2390 0.7610 0.5000
Ho 0.5000 0.5000 0.0000
Ho 0.7610 0.2390 0.5000
Se 0.1199 0.1199 0.4101
Se 0.1378 0.6169 0.0867
Se 0.3820 0.3820 0.5778
Se 0.3831 0.8622 0.9133
Se 0.6169 0.1378 0.0867
Se 0.6180 0.6180 0.4222
Se 0.8622 0.3831 0.9133
Se 0.8801 0.8801 0.5899

- Uncorrected formation energy: -1.713 eV per atom
- Symmetry: No. 12
- Total energy: -5.91 eV/atom
- Calculated density: 5.652 Mg/m³

Record 11
Below is an optimized crystal structure of Sr2CaLaAg, with properties calculated at the GGA-PBE level.

a = 6.1846 Å, b = 6.1846 Å, c = 5.9466 Å
α = 90.00°, β = 90.00°, γ = 90.00°
Sites, in units of the cell vectors:
Sr 0.0000 0.5000 0.0000
Sr 0.5000 0.0000 0.0000
Ca 0.0000 0.0000 0.5000
La 0.5000 0.5000 0.5000
Ag 0.5000 0.5000 0.0000

- Symmetry: No. 123
- Total energy: -2.57 eV/atom
- Calculated density: 3.374 Mg/m³
- Energy relative to the elements: 6 kJ/mol of atoms

Record 12
Below is an optimized crystal structure of PaMnPdAu, with properties calculated at the GGA-PBE level.

a = 6.8251 Å, b = 6.8251 Å, c = 6.8251 Å
α = 90.00°, β = 90.00°, γ = 90.00°
Sites, in units of the cell vectors:
Pa 0.0000 0.0000 0.0000
Pa 0.0000 0.5000 0.5000
Pa 0.5000 0.0000 0.5000
Pa 0.5000 0.5000 0.0000
Mn 0.0000 0.0000 0.5000
Mn 0.0000 0.5000 0.0000
Mn 0.5000 0.0000 0.0000
Mn 0.5000 0.5000 0.5000
Pd 0.2500 0.2500 0.2500
Pd 0.2500 0.7500 0.7500
Pd 0.7500 0.2500 0.7500
Pd 0.7500 0.7500 0.2500
Au 0.2500 0.2500 0.7500
Au 0.2500 0.7500 0.2500
Au 0.7500 0.2500 0.2500
Au 0.7500 0.7500 0.7500

- Symmetry: No. 216
- Total energy: -6.96 eV/atom
- Calculated density: 12.313 Mg/m³
- Energy relative to the elements: -17 kJ/mol of atoms

Among the records above, which one has the highest total energy?
Cs3Rb8Au2

Look up the total energy of the third one.
-3.74 eV/atom

Which value of total energy does entry 7 give?
-6.39 eV/atom

What is the total energy in the second record?
-3.17 eV/atom